# PBE-GGA LuTiPb2, relaxed
# D(E_F) (states/eV/f.u.): 4.422
# Energy (eV/cell): -19.99
data_LuTiPb2
_cell_length_a 4.734
_cell_length_b 4.734
_cell_length_c 4.318
_cell_angle_alpha 90.00
_cell_angle_beta 90.00
_cell_angle_gamma 90.00
_space_group_name_H-M_alt 'P 4/m m m'
_space_group_IT_number 123
_space_group_name_Hall '-P 4 2'
loop_
_atom_site_label
_atom_site_type_symbol
_atom_site_fract_x
_atom_site_fract_y
_atom_site_fract_z
Lu1 Lu 0.000 0.000 0.000
Ti1 Ti 0.500 0.500 0.000
Pb1 Pb 0.000 0.500 0.500